# 1
Below is a geometry-optimized CuOs2Cl structure, with properties calculated at the PBE level.

Its crystal system is tetragonal. The value obtained for the energy relative to the lowest polymorph listed for this composition is 116.4 meV per atom. The uncorrected formation energy is 0.47 eV/atom. The value obtained for the total energy is -26.54 eV/cell. The value obtained for the total magnetization is 0.00 μB/f.u.

The space group is P4mm (No. 99) and the conventional cell measures 2.855, 2.855 and 7.821 Å, with angles of 90.00, 90.00 and 90.00 degrees. The asymmetric unit holds Cu at (0.000, 0.000, 0.000), Os at (0.000, 0.000, 0.432), Os at (0.500, 0.500, 0.225) and Cl at (0.500, 0.500, 0.668).

=====

# 2
Below is a geometry-optimized PtC2Cl2 structure, with properties calculated at the PBE level.

Its crystal system is tetragonal. The value obtained for the energy relative to the lowest polymorph listed for this composition is 0.0 meV per atom. The uncorrected formation energy is 1.16 eV/atom. The value obtained for the total energy is -44.74 eV/cell. The value obtained for the total magnetization is 0.00 μB/f.u.

The space group is I4/mmm (No. 139) and the conventional cell measures 6.437, 6.437 and 5.067 Å, with angles of 90.00, 90.00 and 90.00 degrees. The asymmetric unit holds Pt at (0.000, 0.000, 0.000), C at (0.000, 0.000, 0.373) and Cl at (0.000, 0.500, 0.250).

=====

# 3
Below is a geometry-optimized Na2WCl7 structure, with properties calculated at the PBE level.

Its crystal system is monoclinic. The uncorrected formation energy is -1.12 eV/atom. The value obtained for the total energy is -158.74 eV/cell. The value obtained for the total magnetization is 1.00 μB/f.u.

The space group is C2/c (No. 15) and the conventional cell measures 10.386, 9.495 and 12.336 Å, with angles of 90.00, 107.33 and 90.00 degrees. The asymmetric unit holds Na at (0.209, 0.059, 0.098), W at (0.000, 0.200, 0.750), Cl at (0.000, 0.458, 0.750), Cl at (0.055, 0.014, 0.372), Cl at (0.076, 0.281, 0.949) and Cl at (0.224, 0.198, 0.741).

=====

# 4
Below is a geometry-optimized Rb2TaGaTc structure, with properties calculated at the PBE level.

Its crystal system is tetragonal. The value obtained for the total energy is -17.37 eV/cell. The value obtained for the total magnetization is 1.05 μB/f.u.

The space group is P4/mmm (No. 123) and the conventional cell measures 6.428, 6.428 and 4.864 Å, with angles of 90.00, 90.00 and 90.00 degrees. The asymmetric unit holds Rb at (0.000, 0.500, 0.000), Ta at (0.000, 0.000, 0.500), Ga at (0.500, 0.500, 0.000) and Tc at (0.500, 0.500, 0.500).

=====

# 5
Below is a geometry-optimized SrSmAs2O8 structure, with properties calculated at the PBE level.

Its crystal system is tetragonal. The uncorrected formation energy is -2.02 eV/atom. The value obtained for the total energy is -159.29 eV/cell. The value obtained for the total magnetization is 1.10 μB/f.u.

The space group is I-4 (No. 82) and the conventional cell measures 5.214, 5.214 and 11.909 Å, with angles of 90.00, 90.00 and 90.00 degrees. The asymmetric unit holds Sr at (0.000, 0.000, 0.000), Sm at (0.000, 0.500, 0.250), As at (0.000, 0.000, 0.500), As at (0.000, 0.500, 0.750), O at (0.122, 0.248, 0.420) and O at (0.142, 0.748, 0.823).

=====

# 6
Below is a geometry-optimized HfBe3Tl structure, with properties calculated at the PBE level.

Its crystal system is cubic. The value obtained for the energy relative to the lowest polymorph listed for this composition is 0.0 meV per atom. The value obtained for the total energy is -17.40 eV/cell. The value obtained for the total magnetization is 0.00 μB/f.u.

The space group is Pm-3m (No. 221) and the conventional cell measures 4.430, 4.430 and 4.430 Å, with angles of 90.00, 90.00 and 90.00 degrees. The asymmetric unit holds Hf at (0.000, 0.000, 0.000), Be at (0.000, 0.500, 0.500) and Tl at (0.500, 0.500, 0.500).